An optimized crystal structure of Zn2PbW. Source: the Alexandria database, functional PBE.

a = 2.924 Å, b = 5.023 Å, c = 5.079 Å
α = 90.00°, β = 90.00°, γ = 90.00°
Atoms (fractional coordinates):
1 Zn 0.500 0.500 0.000
2 Zn 0.000 0.000 0.000
3 W 0.000 0.500 0.500
4 Pb 0.500 0.000 0.500

Results
VASP energy	-16.3	eV/cell
ΔE_f	0.727	eV/atom